No. 1
This record from Alexandria describes crystalline Li2ScPd2 at its relaxed geometry. The functional is PBE.

The structure in POSCAR format:
```
Li2ScPd2
1.0
-4.5418 -2.5310 5.1207
-0.3530 -6.4052 -3.4790
2.3042 -0.9752 1.5617
Sc Pd Li
2 4 4
Direct
0.0000 0.0000 0.0000
0.5000 0.5000 0.0000
0.3333 0.8333 0.0000
0.8333 0.6667 0.0000
0.6667 0.1667 0.0000
0.1667 0.3333 0.0000
0.1291 0.6291 0.5000
0.6291 0.8709 0.5000
0.8709 0.3709 0.5000
0.3709 0.1291 0.5000
```

## Properties
Its formation energy is -10.8 kcal/mol of atoms. The value obtained for the offset from the most stable computed form is 86 meV/atom.

No. 2
This record from Alexandria describes crystalline ThMgSi2Pd5 at its relaxed geometry. The functional is PBE.

The structure in POSCAR format:
```
ThMgSi2Pd5
1.0
4.2551 0.0000 0.0000
0.0000 4.2551 0.0000
0.0000 0.0000 8.7776
Th Mg Si Pd
1 1 2 5
Direct
0.0000 0.0000 0.5000
0.0000 0.0000 0.0000
0.5000 0.5000 0.1292
0.5000 0.5000 0.8708
0.0000 0.5000 0.2602
0.5000 0.0000 0.2602
0.0000 0.5000 0.7398
0.5000 0.0000 0.7398
0.5000 0.5000 0.5000
```

## Properties
The calculation puts the energy relative to the elements, uncorrected at -0.723 eV per atom.

No. 3
This record from Alexandria describes crystalline YTm8Bi6 at its relaxed geometry. The functional is PBE.

The structure in POSCAR format:
```
YTm8Bi6
1.0
7.5546 0.0000 0.0000
3.7773 6.5425 0.0000
3.7773 2.1808 9.8042
Y Tm Bi
1 8 6
Direct
0.0000 0.0000 0.0000
0.5492 0.2080 0.3667
0.7920 0.1239 0.6333
0.1239 0.4508 0.6333
0.6664 0.6664 0.0007
0.3336 0.3336 0.9993
0.8761 0.5492 0.3667
0.2080 0.8761 0.3667
0.4508 0.7920 0.6333
0.3999 0.0615 0.8123
0.9385 0.2736 0.1877
0.2736 0.6001 0.1877
0.7264 0.3999 0.8123
0.0615 0.7264 0.8123
0.6001 0.9385 0.1877
```

## Properties
Its formation energy is -10.5 kcal/mol of atoms.